[1]
A relaxed structure of Zr2Sb, computed with PBE.

Cell lengths 5.0482, 5.0482, 3.1491 Å; angles 90.00, 90.00, 120.00 degrees
Space group P-3m1 (No. 164)
Inequivalent atoms, fractional coordinates:
1 Zr 0.3333 0.6667 0.2723 [2 per cell]
2 Sb 0.0000 0.0000 0.0000 [1 per cell]

Properties
ρ: 7.27 Mg/m³
formation energy without anion corrections: -0.152 eV/atom
total magnetic moment: 0.65 μB/f.u.

[2]
A relaxed structure of Cd2TcHg, computed with PBE.

Cell lengths 5.900, 8.805, 2.954 Å; angles 90.00, 90.00, 90.00 degrees
Space group Cmmm (No. 65)
Inequivalent atoms, fractional coordinates:
1 Cd 0.250 0.250 0.000 [4 per cell]
2 Tc 0.000 0.000 0.500 [2 per cell]
3 Hg 0.000 0.500 0.500 [2 per cell]

Properties
ρ: 11.33 Mg/m³
total magnetic moment: 0.00 μB/f.u.
DFT formation energy: 0.372 eV/atom

[3]
A relaxed structure of AcLaAgPt, computed with PBE.

Cell lengths 4.798, 4.114, 11.511 Å; angles 90.00, 90.00, 90.00 degrees
Space group Amm2 (No. 38)
Inequivalent atoms, fractional coordinates:
1 Ac 0.000 0.000 0.000 [2 per cell]
2 La 0.500 0.000 0.726 [2 per cell]
3 Ag 0.500 0.000 0.440 [2 per cell]
4 Pt 0.000 0.000 0.272 [2 per cell]

Properties
ρ: 9.78 Mg/m³
excess energy over the best structure of this formula in the dataset: 0.00 kcal/mol of atoms
total magnetic moment: 0.00 μB/f.u.
DFT formation energy: -0.690 eV/atom

[4]
A relaxed structure of U2Al9Co3, computed with PBE.

Cell lengths 12.790, 7.523, 9.191 Å; angles 90.00, 90.00, 90.00 degrees
Space group Cmcm (No. 63)
Inequivalent atoms, fractional coordinates:
1 U 0.160 0.165 0.250 [8 per cell]
2 Al 0.000 0.128 0.750 [4 per cell]
3 Al 0.000 0.334 0.046 [8 per cell]
4 Al 0.107 0.449 0.750 [8 per cell]
5 Al 0.169 0.169 0.573 [16 per cell]
6 Co 0.000 0.000 0.000 [4 per cell]
7 Co 0.172 0.500 0.000 [8 per cell]

Properties
ρ: 6.73 Mg/m³
total magnetic moment: 4.12 μB/f.u.
DFT formation energy: -0.331 eV/atom

[5]
A relaxed structure of La2DyCo, computed with PBE.

Cell lengths 3.7231, 3.7231, 31.2086 Å; angles 90.00, 90.00, 120.00 degrees
Space group R-3m (No. 166, hexagonal axes)
Inequivalent atoms, fractional coordinates:
1 La 0.0000 0.0000 0.1125 [6 per cell]
2 Dy 0.0000 0.0000 0.0000 [3 per cell]
3 Co 0.0000 0.0000 0.5000 [3 per cell]

Properties
ρ: 6.64 Mg/m³
excess energy over the best structure of this formula in the dataset: 6.35 kcal/mol of atoms
total magnetic moment: 0.00 μB/f.u.
DFT formation energy: 0.171 eV/atom

[6]
A relaxed structure of K3UN3, computed with PBE.

Cell lengths 7.673, 3.712, 12.262 Å; angles 90.00, 90.48, 90.00 degrees
Space group P2_1/m (No. 11)
Inequivalent atoms, fractional coordinates:
1 K 0.108 0.250 0.398 [2 per cell]
2 K 0.207 0.250 0.835 [2 per cell]
3 K 0.347 0.750 0.185 [2 per cell]
4 U 0.386 0.750 0.600 [2 per cell]
5 N 0.219 0.250 0.608 [2 per cell]
6 N 0.406 0.750 0.433 [2 per cell]
7 N 0.432 0.750 0.756 [2 per cell]

Properties
ρ: 3.78 Mg/m³
formation energy without anion corrections: -0.497 eV/atom
total magnetic moment: 0.00 μB/f.u.

[7]
A relaxed structure of ZnFeCu2, computed with PBE.

Cell lengths 8.619, 2.569, 4.547 Å; angles 90.00, 99.47, 90.00 degrees
Space group C2/m (No. 12)
Inequivalent atoms, fractional coordinates:
1 Zn 0.000 0.000 0.000 [2 per cell]
2 Fe 0.000 0.500 0.500 [2 per cell]
3 Cu 0.249 0.000 0.745 [4 per cell]

Properties
ρ: 8.31 Mg/m³
total magnetic moment: 2.43 μB/f.u.
DFT formation energy: 0.070 eV/atom

[8]
A relaxed structure of DyZnIr, computed with PBE.

Cell lengths 4.4080, 4.4080, 3.4520 Å; angles 90.00, 90.00, 120.00 degrees
Space group P-6m2 (No. 187)
Inequivalent atoms, fractional coordinates:
1 Dy 0.0000 0.0000 0.0000 [1 per cell]
2 Zn 0.3333 0.6667 0.5000 [1 per cell]
3 Ir 0.6667 0.3333 0.5000 [1 per cell]

Properties
ρ: 12.01 Mg/m³
total magnetic moment: 0.00 μB/f.u.
DFT formation energy: -0.582 eV/atom

[9]
A relaxed structure of KPuCu2S4, computed with PBE.

Cell lengths 6.548, 6.548, 7.879 Å; angles 90.00, 90.00, 90.00 degrees
Space group I-42m (No. 121)
Inequivalent atoms, fractional coordinates:
1 K 0.000 0.000 0.000 [2 per cell]
2 Pu 0.000 0.000 0.500 [2 per cell]
3 Cu 0.000 0.500 0.250 [4 per cell]
4 S 0.229 0.229 0.722 [8 per cell]

Properties
ρ: 5.29 Mg/m³
formation energy without anion corrections: -0.676 eV/atom
total magnetic moment: 4.48 μB/f.u.

[10]
A relaxed structure of DyTmTh2Sb4, computed with PBE.

Cell lengths 7.638, 4.448, 7.703 Å; angles 90.00, 109.71, 90.00 degrees
Space group P2/m (No. 10)
Inequivalent atoms, fractional coordinates:
1 Dy 0.000 0.000 0.000 [1 per cell]
2 Tm 0.000 0.500 0.500 [1 per cell]
3 Th 0.500 0.000 0.500 [1 per cell]
4 Th 0.500 0.500 0.000 [1 per cell]
5 Sb 0.238 0.000 0.745 [2 per cell]
6 Sb 0.239 0.500 0.248 [2 per cell]

Properties
ρ: 8.65 Mg/m³
formation energy without anion corrections: -1.003 eV/atom
total magnetic moment: 0.00 μB/f.u.

[11]
A relaxed structure of La5Ge2Pt2, computed with PBE.

Cell lengths 15.544, 7.976, 8.046 Å; angles 90.00, 90.00, 90.00 degrees
Space group Cmce (No. 64)
Inequivalent atoms, fractional coordinates:
1 La 0.000 0.000 0.000 [4 per cell]
2 La 0.143 0.175 0.337 [16 per cell]
3 Ge 0.000 0.120 0.621 [8 per cell]
4 Pt 0.197 0.000 0.000 [8 per cell]

Properties
ρ: 8.19 Mg/m³
total magnetic moment: 0.00 μB/f.u.
DFT formation energy: -0.914 eV/atom

[12]
A relaxed structure of TbZrTlCd, computed with PBE.

Cell lengths 7.315, 7.315, 7.315 Å; angles 90.00, 90.00, 90.00 degrees
Space group F-43m (No. 216)
Inequivalent atoms, fractional coordinates:
1 Tb 0.000 0.000 0.000 [4 per cell]
2 Zr 0.000 0.000 0.500 [4 per cell]
3 Tl 0.250 0.250 0.250 [4 per cell]
4 Cd 0.250 0.250 0.750 [4 per cell]

Properties
ρ: 9.62 Mg/m³
total magnetic moment: 0.00 μB/f.u.
DFT formation energy: -0.154 eV/atom